A plane-wave DFT calculation with PBE was carried out for a relaxed Pm5Ga2S2 crystal.

Structure (CIF):
```
data_Pm5Ga2S2
_cell_length_a 14.844
_cell_length_b 7.711
_cell_length_c 7.789
_cell_angle_alpha 90.00
_cell_angle_beta 90.00
_cell_angle_gamma 90.00
_space_group_name_H-M_alt 'C m c e'
_space_group_IT_number 64
_space_group_name_Hall '-C 2ac 2'
loop_
_atom_site_label
_atom_site_fract_x
_atom_site_fract_y
_atom_site_fract_z
_atom_site_occupancy
Pm1 0.000 0.000 0.000 1
Pm2 0.146 0.173 0.341 1
Ga1 0.000 0.121 0.618 1
S1 0.194 0.000 0.000 1
```

Calculated values
Crystal system: orthorhombic
Uncorrected energy (eV/atom): -5.342

---

A plane-wave DFT calculation with PBE was carried out for a relaxed Pm8GaSe4S3 crystal.

Structure (CIF):
```
data_Pm8GaSe4S3
_cell_length_a 8.2561
_cell_length_b 8.2561
_cell_length_c 20.5996
_cell_angle_alpha 90.00
_cell_angle_beta 90.00
_cell_angle_gamma 120.00
_space_group_name_H-M_alt 'R -3 m'
_space_group_IT_number 166
_space_group_name_Hall '-R 3 2"'
loop_
_atom_site_label
_atom_site_fract_x
_atom_site_fract_y
_atom_site_fract_z
_atom_site_occupancy
Pm1 0.0000 0.0000 0.2433 1
Pm2 0.0014 0.5007 0.7548 1
Ga1 0.0000 0.0000 0.5000 1
Se1 0.0000 0.0000 0.0000 1
Se2 0.0000 0.5000 0.0000 1
S1 0.0000 0.5000 0.5000 1
```

Calculated values
Crystal system: trigonal
Uncorrected energy (eV/atom): -5.982

---

A plane-wave DFT calculation with PBE was carried out for a relaxed Pm6GaSe2S3 crystal.

Structure (CIF):
```
data_Pm6GaSe2S3
_cell_length_a 18.071
_cell_length_b 4.066
_cell_length_c 8.376
_cell_angle_alpha 90.00
_cell_angle_beta 103.01
_cell_angle_gamma 90.00
_space_group_name_H-M_alt 'C 1 2/m 1'
_space_group_IT_number 12
loop_
_space_group_symop_operation_xyz
'x,y,z'
'-x,-y,-z'
'-x,y,-z'
'x,-y,z'
'x+1/2,y+1/2,z'
'-x+1/2,-y+1/2,-z'
'-x+1/2,y+1/2,-z'
'x+1/2,-y+1/2,z'
loop_
_atom_site_label
_atom_site_fract_x
_atom_site_fract_y
_atom_site_fract_z
_atom_site_occupancy
Pm1 0.002 0.000 0.244 1
Pm2 0.160 0.500 0.094 1
Pm3 0.166 0.500 0.573 1
Ga1 0.000 0.500 0.500 1
Se1 0.170 0.000 0.838 1
S1 0.000 0.500 0.000 1
S2 0.169 0.000 0.333 1
```

Calculated values
Crystal system: monoclinic
Uncorrected energy (eV/atom): -5.974

---

A plane-wave DFT calculation with PBE was carried out for a relaxed Pm6GaSe3S2 crystal.

Structure (CIF):
```
data_Pm6GaSe3S2
_cell_length_a 18.282
_cell_length_b 4.095
_cell_length_c 8.449
_cell_angle_alpha 90.00
_cell_angle_beta 104.41
_cell_angle_gamma 90.00
_space_group_name_H-M_alt 'C 1 2/m 1'
_space_group_IT_number 12
loop_
_space_group_symop_operation_xyz
'x,y,z'
'-x,-y,-z'
'-x,y,-z'
'x,-y,z'
'x+1/2,y+1/2,z'
'-x+1/2,-y+1/2,-z'
'-x+1/2,y+1/2,-z'
'x+1/2,-y+1/2,z'
loop_
_atom_site_label
_atom_site_fract_x
_atom_site_fract_y
_atom_site_fract_z
_atom_site_occupancy
Pm1 0.003 0.000 0.250 1
Pm2 0.164 0.500 0.091 1
Pm3 0.170 0.500 0.572 1
Ga1 0.000 0.500 0.000 1
Se1 0.000 0.500 0.500 1
Se2 0.167 0.000 0.830 1
S1 0.169 0.000 0.334 1
```

Calculated values
Crystal system: monoclinic
Uncorrected energy (eV/atom): -5.889

---

A plane-wave DFT calculation with PBE was carried out for a relaxed Sr2PmGaS5 crystal.

Structure (CIF):
```
data_Sr2PmGaS5
_cell_length_a 3.994
_cell_length_b 18.226
_cell_length_c 12.363
_cell_angle_alpha 90.00
_cell_angle_beta 90.00
_cell_angle_gamma 90.00
_space_group_name_H-M_alt 'C m c 21'
_space_group_IT_number 36
loop_
_space_group_symop_operation_xyz
'x,y,z'
'-x,-y,z+1/2'
'-x,y,z'
'x,-y,z+1/2'
'x+1/2,y+1/2,z'
'-x+1/2,-y+1/2,z+1/2'
'-x+1/2,y+1/2,z'
'x+1/2,-y+1/2,z+1/2'
loop_
_atom_site_label
_atom_site_fract_x
_atom_site_fract_y
_atom_site_fract_z
_atom_site_occupancy
Sr1 0.000 0.114 0.000 1
Sr2 0.000 0.122 0.643 1
Pm1 0.000 0.208 0.345 1
Ga1 0.000 0.444 0.749 1
S1 0.000 0.043 0.353 1
S2 0.000 0.294 0.998 1
S3 0.000 0.322 0.685 1
S4 0.000 0.356 0.325 1
S5 0.000 0.498 0.089 1
```

Calculated values
Crystal system: orthorhombic
Uncorrected energy (eV/atom): -5.254

---

A plane-wave DFT calculation with PBE was carried out for a relaxed SrPmGaS4 crystal.

Structure (CIF):
```
data_SrPmGaS4
_cell_length_a 6.618
_cell_length_b 6.693
_cell_length_c 8.129
_cell_angle_alpha 90.00
_cell_angle_beta 107.18
_cell_angle_gamma 90.00
_space_group_name_H-M_alt 'P 1 21/m 1'
_space_group_IT_number 11
loop_
_space_group_symop_operation_xyz
'x,y,z'
'-x,-y,-z'
'-x,y+1/2,-z'
'x,-y+1/2,z'
loop_
_atom_site_label
_atom_site_fract_x
_atom_site_fract_y
_atom_site_fract_z
_atom_site_occupancy
Sr1 0.247 0.250 0.438 1
Pm1 0.277 0.250 0.945 1
Ga1 0.262 0.750 0.185 1
S1 0.060 0.750 0.907 1
S2 0.063 0.750 0.367 1
S3 0.499 0.506 0.764 1
```

Calculated values
Crystal system: monoclinic
Uncorrected energy (eV/atom): -5.293

---

A plane-wave DFT calculation with PBE was carried out for a relaxed Pm8GaTe4S3 crystal.

Structure (CIF):
```
data_Pm8GaTe4S3
_cell_length_a 8.4346
_cell_length_b 8.4346
_cell_length_c 21.7376
_cell_angle_alpha 90.00
_cell_angle_beta 90.00
_cell_angle_gamma 120.00
_space_group_name_H-M_alt 'R -3 m'
_space_group_IT_number 166
_space_group_name_Hall '-R 3 2"'
loop_
_atom_site_label
_atom_site_fract_x
_atom_site_fract_y
_atom_site_fract_z
_atom_site_occupancy
Pm1 0.0000 0.0000 0.2359 1
Pm2 0.0021 0.5011 0.7612 1
Ga1 0.0000 0.0000 0.5000 1
Te1 0.0000 0.0000 0.0000 1
Te2 0.0000 0.5000 0.0000 1
S1 0.0000 0.5000 0.5000 1
```

Calculated values
Crystal system: trigonal
Uncorrected energy (eV/atom): -5.688

---

A plane-wave DFT calculation with PBE was carried out for a relaxed Pm3Tl3GaS8 crystal.

Structure (CIF):
```
data_Pm3Tl3GaS8
_cell_length_a 14.042
_cell_length_b 8.107
_cell_length_c 8.712
_cell_angle_alpha 90.00
_cell_angle_beta 122.57
_cell_angle_gamma 90.00
_space_group_name_H-M_alt 'C 1 2/m 1'
_space_group_IT_number 12
loop_
_space_group_symop_operation_xyz
'x,y,z'
'-x,-y,-z'
'-x,y,-z'
'x,-y,z'
'x+1/2,y+1/2,z'
'-x+1/2,-y+1/2,-z'
'-x+1/2,y+1/2,-z'
'x+1/2,-y+1/2,z'
loop_
_atom_site_label
_atom_site_fract_x
_atom_site_fract_y
_atom_site_fract_z
_atom_site_occupancy
Pm1 0.000 0.000 0.000 1
Pm2 0.250 0.250 0.000 1
Tl1 0.000 0.500 0.500 1
Tl2 0.250 0.250 0.500 1
Ga1 0.000 0.500 0.000 1
S1 0.011 0.273 0.806 1
S2 0.216 0.500 0.194 1
S3 0.236 0.000 0.209 1
```

Calculated values
Crystal system: monoclinic
Uncorrected energy (eV/atom): -4.986

---

A plane-wave DFT calculation with PBE was carried out for a relaxed PmTl2GaS4 crystal.

Structure (CIF):
```
data_PmTl2GaS4
_cell_length_a 11.666
_cell_length_b 11.749
_cell_length_c 8.021
_cell_angle_alpha 90.00
_cell_angle_beta 133.39
_cell_angle_gamma 90.00
_space_group_name_H-M_alt 'C 1 2/c 1'
_space_group_IT_number 15
loop_
_space_group_symop_operation_xyz
'x,y,z'
'-x,-y,-z'
'-x,y,-z+1/2'
'x,-y,z+1/2'
'x+1/2,y+1/2,z'
'-x+1/2,-y+1/2,-z'
'-x+1/2,y+1/2,-z+1/2'
'x+1/2,-y+1/2,z+1/2'
loop_
_atom_site_label
_atom_site_fract_x
_atom_site_fract_y
_atom_site_fract_z
_atom_site_occupancy
Pm1 0.250 0.250 0.000 1
Tl1 0.000 0.000 0.000 1
Tl2 0.250 0.250 0.500 1
Ga1 0.000 0.500 0.000 1
S1 0.000 0.276 0.522 1
S2 0.200 0.491 0.950 1
```

Calculated values
Crystal system: monoclinic
Uncorrected energy (eV/atom): -4.457

---

A plane-wave DFT calculation with PBE was carried out for a relaxed Pm7Ga2Sb2 crystal.

Structure (CIF):
```
data_Pm7Ga2Sb2
_cell_length_a 8.051
_cell_length_b 11.051
_cell_length_c 7.786
_cell_angle_alpha 90.00
_cell_angle_beta 90.00
_cell_angle_gamma 90.00
_space_group_name_H-M_alt 'C m m m'
_space_group_IT_number 65
_space_group_name_Hall '-C 2 2'
loop_
_atom_site_label
_atom_site_fract_x
_atom_site_fract_y
_atom_site_fract_z
_atom_site_occupancy
Pm1 0.000 0.000 0.000 1
Pm2 0.000 0.500 0.279 1
Pm3 0.250 0.250 0.292 1
Ga1 0.164 0.000 0.500 1
Sb1 0.000 0.291 0.000 1
```

Calculated values
Crystal system: orthorhombic
Uncorrected energy (eV/atom): -4.696

---

A plane-wave DFT calculation with PBE was carried out for a relaxed Pm8GaSb2 crystal.

Structure (CIF):
```
data_Pm8GaSb2
_cell_length_a 19.332
_cell_length_b 4.958
_cell_length_c 7.236
_cell_angle_alpha 90.00
_cell_angle_beta 99.33
_cell_angle_gamma 90.00
_space_group_name_H-M_alt 'C 1 2/m 1'
_space_group_IT_number 12
loop_
_space_group_symop_operation_xyz
'x,y,z'
'-x,-y,-z'
'-x,y,-z'
'x,-y,z'
'x+1/2,y+1/2,z'
'-x+1/2,-y+1/2,-z'
'-x+1/2,y+1/2,-z'
'x+1/2,-y+1/2,z'
loop_
_atom_site_label
_atom_site_fract_x
_atom_site_fract_y
_atom_site_fract_z
_atom_site_occupancy
Pm1 0.012 0.000 0.270 1
Pm2 0.094 0.500 0.994 1
Pm3 0.159 0.500 0.527 1
Pm4 0.216 0.000 0.848 1
Ga1 0.000 0.500 0.500 1
Sb1 0.179 0.000 0.269 1
```

Calculated values
Crystal system: monoclinic
Uncorrected energy (eV/atom): -4.947

---

A plane-wave DFT calculation with PBE was carried out for a relaxed Pm4GaSb crystal.

Structure (CIF):
```
data_Pm4GaSb
_cell_length_a 8.888
_cell_length_b 14.004
_cell_length_c 6.205
_cell_angle_alpha 90.00
_cell_angle_beta 113.64
_cell_angle_gamma 90.00
_space_group_name_H-M_alt 'C 1 2/c 1'
_space_group_IT_number 15
loop_
_space_group_symop_operation_xyz
'x,y,z'
'-x,-y,-z'
'-x,y,-z+1/2'
'x,-y,z+1/2'
'x+1/2,y+1/2,z'
'-x+1/2,-y+1/2,-z'
'-x+1/2,y+1/2,-z+1/2'
'x+1/2,-y+1/2,z+1/2'
loop_
_atom_site_label
_atom_site_fract_x
_atom_site_fract_y
_atom_site_fract_z
_atom_site_occupancy
Pm1 0.108 0.184 0.065 1
Pm2 0.201 0.419 0.337 1
Ga1 0.000 0.000 0.250 1
Sb1 0.000 0.381 0.750 1
```

Calculated values
Crystal system: monoclinic
Uncorrected energy (eV/atom): -4.927

---

A plane-wave DFT calculation with PBE was carried out for a relaxed Pm4GaSb3 crystal.

Structure (CIF):
```
data_Pm4GaSb3
_cell_length_a 6.295
_cell_length_b 6.295
_cell_length_c 6.295
_cell_angle_alpha 90.00
_cell_angle_beta 90.00
_cell_angle_gamma 90.00
_space_group_name_H-M_alt 'P m -3 m'
_space_group_IT_number 221
_space_group_name_Hall '-P 4 2 3'
loop_
_atom_site_label
_atom_site_fract_x
_atom_site_fract_y
_atom_site_fract_z
_atom_site_occupancy
Pm1 0.000 0.000 0.000 1
Pm2 0.000 0.500 0.500 1
Ga1 0.500 0.500 0.500 1
Sb1 0.000 0.000 0.500 1
```

Calculated values
Crystal system: cubic
Uncorrected energy (eV/atom): -5.234

---

A plane-wave DFT calculation with PBE was carried out for a relaxed Pm5Ga2Sb2 crystal.

Structure (CIF):
```
data_Pm5Ga2Sb2
_cell_length_a 15.801
_cell_length_b 8.152
_cell_length_c 8.128
_cell_angle_alpha 90.00
_cell_angle_beta 90.00
_cell_angle_gamma 90.00
_space_group_name_H-M_alt 'C m c e'
_space_group_IT_number 64
_space_group_name_Hall '-C 2ac 2'
loop_
_atom_site_label
_atom_site_fract_x
_atom_site_fract_y
_atom_site_fract_z
_atom_site_occupancy
Pm1 0.000 0.000 0.000 1
Pm2 0.134 0.174 0.330 1
Ga1 0.000 0.120 0.618 1
Sb1 0.205 0.000 0.000 1
```

Calculated values
Crystal system: orthorhombic
Uncorrected energy (eV/atom): -5.053

---

A plane-wave DFT calculation with PBE was carried out for a relaxed Pm5GaSb4 crystal.

Structure (CIF):
```
data_Pm5GaSb4
_cell_length_a 9.968
_cell_length_b 9.968
_cell_length_c 6.294
_cell_angle_alpha 90.00
_cell_angle_beta 90.00
_cell_angle_gamma 90.00
_space_group_name_H-M_alt 'I 4/m'
_space_group_IT_number 87
_space_group_name_Hall '-I 4'
loop_
_atom_site_label
_atom_site_fract_x
_atom_site_fract_y
_atom_site_fract_z
_atom_site_occupancy
Pm1 0.000 0.000 0.000 1
Pm2 0.102 0.700 0.500 1
Ga1 0.000 0.000 0.500 1
Sb1 0.098 0.700 0.000 1
```

Calculated values
Crystal system: tetragonal
Uncorrected energy (eV/atom): -5.312

---

A plane-wave DFT calculation with PBE was carried out for a relaxed PmGaSb3 crystal.

Structure (CIF):
```
data_PmGaSb3
_cell_length_a 14.290
_cell_length_b 6.083
_cell_length_c 6.295
_cell_angle_alpha 90.00
_cell_angle_beta 90.00
_cell_angle_gamma 90.00
_space_group_name_H-M_alt 'P b c m'
_space_group_IT_number 57
loop_
_space_group_symop_operation_xyz
'x,y,z'
'-x,-y,-z'
'-x,-y,z+1/2'
'x,y,-z+1/2'
'x,-y+1/2,-z'
'-x,y+1/2,z'
'-x,y+1/2,-z+1/2'
'x,-y+1/2,z+1/2'
loop_
_atom_site_label
_atom_site_fract_x
_atom_site_fract_y
_atom_site_fract_z
_atom_site_occupancy
Pm1 0.174 0.002 0.250 1
Ga1 0.388 0.250 0.000 1
Sb1 0.001 0.250 0.000 1
Sb2 0.242 0.511 0.250 1
Sb3 0.408 0.672 0.750 1
```

Calculated values
Crystal system: orthorhombic
Uncorrected energy (eV/atom): -4.455

---

A plane-wave DFT calculation with PBE was carried out for a relaxed Pm4GaSb2 crystal.

Structure (CIF):
```
data_Pm4GaSb2
_cell_length_a 15.296
_cell_length_b 4.469
_cell_length_c 7.619
_cell_angle_alpha 90.00
_cell_angle_beta 118.59
_cell_angle_gamma 90.00
_space_group_name_H-M_alt 'C 1 2/m 1'
_space_group_IT_number 12
loop_
_space_group_symop_operation_xyz
'x,y,z'
'-x,-y,-z'
'-x,y,-z'
'x,-y,z'
'x+1/2,y+1/2,z'
'-x+1/2,-y+1/2,-z'
'-x+1/2,y+1/2,-z'
'x+1/2,-y+1/2,z'
loop_
_atom_site_label
_atom_site_fract_x
_atom_site_fract_y
_atom_site_fract_z
_atom_site_occupancy
Pm1 0.113 0.000 0.302 1
Pm2 0.119 0.500 0.772 1
Ga1 0.000 0.500 0.000 1
Sb1 0.240 0.500 0.237 1
```

Calculated values
Crystal system: monoclinic
Uncorrected energy (eV/atom): -5.011

---

A plane-wave DFT calculation with PBE was carried out for a relaxed Pm8Ga2Sb crystal.

Structure (CIF):
```
data_Pm8Ga2Sb
_cell_length_a 19.648
_cell_length_b 5.036
_cell_length_c 6.980
_cell_angle_alpha 90.00
_cell_angle_beta 102.26
_cell_angle_gamma 90.00
_space_group_name_H-M_alt 'C 1 2/m 1'
_space_group_IT_number 12
loop_
_space_group_symop_operation_xyz
'x,y,z'
'-x,-y,-z'
'-x,y,-z'
'x,-y,z'
'x+1/2,y+1/2,z'
'-x+1/2,-y+1/2,-z'
'-x+1/2,y+1/2,-z'
'x+1/2,-y+1/2,z'
loop_
_atom_site_label
_atom_site_fract_x
_atom_site_fract_y
_atom_site_fract_z
_atom_site_occupancy
Pm1 0.033 0.000 0.262 1
Pm2 0.093 0.500 0.959 1
Pm3 0.164 0.500 0.483 1
Pm4 0.210 0.000 0.826 1
Ga1 0.188 0.000 0.253 1
Sb1 0.000 0.500 0.500 1
```

Calculated values
Crystal system: monoclinic
Uncorrected energy (eV/atom): -4.744

---

A plane-wave DFT calculation with PBE was carried out for a relaxed PmSmGaSb crystal.

Structure (CIF):
```
data_PmSmGaSb
_cell_length_a 7.555
_cell_length_b 7.555
_cell_length_c 7.555
_cell_angle_alpha 90.00
_cell_angle_beta 90.00
_cell_angle_gamma 90.00
_space_group_name_H-M_alt 'F -4 3 m'
_space_group_IT_number 216
_space_group_name_Hall 'F -4 2 3'
loop_
_atom_site_label
_atom_site_fract_x
_atom_site_fract_y
_atom_site_fract_z
_atom_site_occupancy
Pm1 0.000 0.000 0.000 1
Sm1 0.000 0.000 0.500 1
Ga1 0.250 0.250 0.250 1
Sb1 0.250 0.250 0.750 1
```

Calculated values
Crystal system: cubic
Uncorrected energy (eV/atom): -4.771